An optimized crystal structure of GaMo2N. Source: Alexandria via LeMat-Bulk, functional PBE.

SG: R3m
Calculated volume (Å³/cell): 155.8
E above lowest polymorph (eV per formula unit): 0.00
Electronic total energy (eV per atom): -8.388
Fermi-level density of states (states/eV/f.u.): 3.797
ΔE_f (raw) (meV/atom): -134
Mass density (g/cm³): 8.812

Lattice parameters (Å, degrees): 2.884 2.884 21.633 90.00 90.00 120.00
Sites, in units of the cell vectors:
Ga 0.000 0.000 0.000
Ga 0.333 0.667 0.667
Ga 0.667 0.333 0.333
Mo 0.000 0.000 0.231
Mo 0.000 0.000 0.436
Mo 0.333 0.667 0.103
Mo 0.333 0.667 0.898
Mo 0.667 0.333 0.564
Mo 0.667 0.333 0.769
N 0.000 0.000 0.834
N 0.333 0.667 0.501
N 0.667 0.333 0.167

---

An optimized crystal structure of GaMoN3. Source: Alexandria via LeMat-Bulk, functional PBE.

SG: Pm-3m
Calculated volume (Å³/cell): 62.6
Electronic total energy (eV per atom): -7.061
Fermi-level density of states (states/eV/f.u.): 1.964
ΔE_f (raw) (meV/atom): 706
Mass density (g/cm³): 5.505

Lattice parameters (Å, degrees): 3.971 3.971 3.971 90.00 90.00 90.00
Sites, in units of the cell vectors:
Ga 0.000 0.000 0.000
Mo 0.500 0.500 0.500
N 0.000 0.500 0.500
N 0.500 0.000 0.500
N 0.500 0.500 0.000

---

An optimized crystal structure of GaMo2N. Source: Alexandria via LeMat-Bulk, functional PBE.

SG: I-42d
Calculated volume (Å³/cell): 274.7
E above lowest polymorph (eV per formula unit): 2.39
Electronic total energy (eV per atom): -7.790
Fermi-level density of states (states/eV/f.u.): 4.193
ΔE_f (raw) (meV/atom): 464
Mass density (g/cm³): 6.665

Lattice parameters (Å, degrees): 5.096 5.096 10.578 90.00 90.00 90.00
Sites, in units of the cell vectors:
Ga 0.000 0.000 0.000
Ga 0.000 0.500 0.250
Ga 0.500 0.000 0.750
Ga 0.500 0.500 0.500
Mo 0.135 0.250 0.625
Mo 0.250 0.635 0.875
Mo 0.250 0.865 0.375
Mo 0.365 0.250 0.125
Mo 0.635 0.750 0.125
Mo 0.750 0.135 0.375
Mo 0.750 0.365 0.875
Mo 0.865 0.750 0.625
N 0.000 0.000 0.500
N 0.000 0.500 0.750
N 0.500 0.000 0.250
N 0.500 0.500 0.000

---

An optimized crystal structure of GaMo2N. Source: Alexandria via LeMat-Bulk, functional PBE.

SG: R-3m
Calculated volume (Å³/cell): 169.3
E above lowest polymorph (eV per formula unit): 0.87
Electronic total energy (eV per atom): -8.171
Fermi-level density of states (states/eV/f.u.): 1.611
ΔE_f (raw) (meV/atom): 83
Mass density (g/cm³): 8.112

Lattice parameters (Å, degrees): 2.885 2.885 23.478 90.00 90.00 120.00
Sites, in units of the cell vectors:
Ga 0.000 0.000 0.000
Ga 0.333 0.667 0.667
Ga 0.667 0.333 0.333
Mo 0.000 0.000 0.108
Mo 0.000 0.000 0.892
Mo 0.333 0.667 0.559
Mo 0.333 0.667 0.775
Mo 0.667 0.333 0.225
Mo 0.667 0.333 0.441
N 0.000 0.000 0.500
N 0.333 0.667 0.167
N 0.667 0.333 0.833

---

An optimized crystal structure of GaMoN3. Source: Alexandria via LeMat-Bulk, functional PBE.

SG: P-1
Calculated volume (Å³/cell): 344.9
Electronic total energy (eV per atom): -7.738
ΔE_f (raw) (meV/atom): 28
Mass density (g/cm³): 4.000

Lattice parameters (Å, degrees): 5.886 7.444 7.974 92.51 95.13 96.94
Sites, in units of the cell vectors:
Ga 0.118 0.360 0.058
Ga 0.309 0.679 0.783
Ga 0.691 0.321 0.217
Ga 0.882 0.640 0.942
Mo 0.005 0.669 0.392
Mo 0.163 0.090 0.268
Mo 0.837 0.910 0.732
Mo 0.995 0.331 0.608
N 0.100 0.853 0.847
N 0.102 0.470 0.848
N 0.163 0.185 0.490
N 0.187 0.843 0.277
N 0.207 0.590 0.552
N 0.377 0.257 0.163
N 0.623 0.743 0.837
N 0.793 0.410 0.448
N 0.813 0.157 0.723
N 0.837 0.815 0.510
N 0.898 0.530 0.152
N 0.900 0.147 0.153

---

An optimized crystal structure of GaMoN3. Source: Alexandria via LeMat-Bulk, functional PBE.

SG: Pm-3m
Calculated volume (Å³/cell): 52.5
Electronic total energy (eV per atom): -6.171
Fermi-level density of states (states/eV/f.u.): 5.284
ΔE_f (raw) (meV/atom): 1596
Mass density (g/cm³): 6.567

Lattice parameters (Å, degrees): 3.745 3.745 3.745 90.00 90.00 90.00
Sites, in units of the cell vectors:
Ga 0.000 0.000 0.000
Mo 0.500 0.500 0.500
N 0.000 0.000 0.500
N 0.000 0.500 0.000
N 0.500 0.000 0.000

---

An optimized crystal structure of GaNiMo2N. Source: Alexandria via LeMat-Bulk, functional PBE.

SG: P4/mmm
Calculated volume (Å³/cell): 64.4
Electronic total energy (eV per atom): -7.907
Fermi-level density of states (states/eV/f.u.): 4.335
ΔE_f (raw) (meV/atom): -148
Mass density (g/cm³): 8.625

Lattice parameters (Å, degrees): 4.145 4.145 3.746 90.00 90.00 90.00
Sites, in units of the cell vectors:
Ga 0.000 0.000 0.000
Ni 0.500 0.500 0.000
Mo 0.000 0.500 0.500
Mo 0.500 0.000 0.500
N 0.500 0.500 0.500

---

An optimized crystal structure of GaNi2MoN. Source: Alexandria via LeMat-Bulk, functional PBE.

SG: P4/mmm
Calculated volume (Å³/cell): 59.2
Electronic total energy (eV per atom): -6.974
Fermi-level density of states (states/eV/f.u.): 0.408
ΔE_f (raw) (meV/atom): -225
Mass density (g/cm³): 8.337

Lattice parameters (Å, degrees): 3.807 3.807 4.082 90.00 90.00 90.00
Sites, in units of the cell vectors:
Ga 0.000 0.000 0.000
Ni 0.000 0.500 0.500
Ni 0.500 0.000 0.500
Mo 0.500 0.500 0.000
N 0.500 0.500 0.500